No. 1
Here is an optimized crystal structure of Si2TcPt from Alexandria via LeMat-Bulk. Energies are from PBE.

Cell: 2.868 3.765 5.355 Å, 90.00 90.00 90.00°
Element x y z (fractional)
Si  0.000  0.000  0.219
Si  0.000  0.000  0.781
Tc  0.500  0.500  0.000
Pt  0.000  0.500  0.500

Values from the calculation:
Raw formation energy (eV/atom): -0.315
Space group: Pmmm (47)

---

No. 2
Here is an optimized crystal structure of SiTc2Pt from Alexandria via LeMat-Bulk. Energies are from PBE.

Cell: 4.711 4.711 2.864 Å, 90.00 90.00 114.55°
Element x y z (fractional)
Si  0.000  0.000  0.000
Tc  0.000  0.500  0.500
Tc  0.500  0.000  0.500
Pt  0.500  0.500  0.000

Values from the calculation:
Raw formation energy (eV/atom): -0.098
Space group: Cmmm (65)

---

No. 3
Here is an optimized crystal structure of Si2TcPt from Alexandria via LeMat-Bulk. Energies are from PBE.

Cell: 3.067 3.067 5.812 Å, 90.00 90.00 90.00°
Element x y z (fractional)
Si  0.000  0.000  0.232
Si  0.000  0.000  0.768
Tc  0.500  0.500  0.000
Pt  0.500  0.500  0.500

Values from the calculation:
Raw formation energy (eV/atom): -0.437
Space group: P4/mmm (123)

---

No. 4
Here is an optimized crystal structure of SiTc2Pt from Alexandria via LeMat-Bulk. Energies are from PBE.

Cell: 3.749 3.749 4.091 Å, 90.00 90.00 90.00°
Element x y z (fractional)
Si  0.000  0.000  0.000
Tc  0.000  0.500  0.500
Tc  0.500  0.000  0.500
Pt  0.500  0.500  0.000

Values from the calculation:
Raw formation energy (eV/atom): -0.060
Space group: P4/mmm (123)

---

No. 5
Here is an optimized crystal structure of SiTc2Pt from Alexandria via LeMat-Bulk. Energies are from PBE.

Cell: 5.245 5.245 5.245 Å, 147.70 131.24 59.70°
Element x y z (fractional)
Si  0.000  0.000  0.000
Tc  0.215  0.715  0.500
Tc  0.785  0.285  0.500
Pt  0.500  0.500  0.000

Values from the calculation:
Raw formation energy (eV/atom): -0.226
Space group: Immm (71)

---

No. 6
Here is an optimized crystal structure of SiTc2Pt from Alexandria via LeMat-Bulk. Energies are from PBE.

Cell: 8.635 8.635 8.635 Å, 18.66 18.66 18.66°
Element x y z (fractional)
Si  0.000  0.000  0.000
Tc  0.254  0.254  0.254
Tc  0.505  0.505  0.505
Pt  0.745  0.745  0.745

Values from the calculation:
Raw formation energy (eV/atom): -0.188
Space group: R3m (160)

---

No. 7
Here is an optimized crystal structure of Si2TcPt2 from Alexandria via LeMat-Bulk. Energies are from PBE.

Cell: 6.735 6.735 3.171 Å, 90.00 90.00 90.00°
Element x y z (fractional)
Si  0.149  0.351  0.000
Si  0.351  0.851  0.000
Si  0.649  0.149  0.000
Si  0.851  0.649  0.000
Tc  0.000  0.000  0.000
Tc  0.500  0.500  0.000
Pt  0.151  0.651  0.500
Pt  0.349  0.151  0.500
Pt  0.651  0.849  0.500
Pt  0.849  0.349  0.500

Values from the calculation:
Raw formation energy (eV/atom): -0.325
Space group: P4/mbm (127)

---

No. 8
Here is an optimized crystal structure of SiTcPt4 from Alexandria via LeMat-Bulk. Energies are from PBE.

Cell: 5.255 5.255 5.255 Å, 60.00 60.00 60.00°
Element x y z (fractional)
Si  0.000  0.000  0.000
Tc  0.750  0.750  0.750
Pt  0.375  0.375  0.375
Pt  0.375  0.375  0.874
Pt  0.375  0.874  0.375
Pt  0.874  0.375  0.375

Values from the calculation:
Raw formation energy (eV/atom): 0.400
Space group: F-43m (216)

---

No. 9
Here is an optimized crystal structure of SiTc2Pt from Alexandria via LeMat-Bulk. Energies are from PBE.

Cell: 2.878 3.929 5.124 Å, 90.00 90.00 90.00°
Element x y z (fractional)
Si  0.000  0.000  0.000
Tc  0.500  0.500  0.231
Tc  0.500  0.500  0.769
Pt  0.000  0.000  0.500

Values from the calculation:
Raw formation energy (eV/atom): -0.106
Space group: Pmmm (47)

---

No. 10
Here is an optimized crystal structure of Si2TcPt from Alexandria via LeMat-Bulk. Energies are from PBE.

Cell: 2.917 2.917 7.832 Å, 90.00 90.00 118.30°
Element x y z (fractional)
Si  0.000  0.000  0.242
Si  0.000  0.000  0.758
Tc  0.500  0.500  0.000
Pt  0.500  0.500  0.500

Values from the calculation:
Raw formation energy (eV/atom): -0.142
Space group: Cmmm (65)

---

No. 11
Here is an optimized crystal structure of ThSi3TcPt from Alexandria via LeMat-Bulk. Energies are from PBE.

Cell: 7.164 7.164 5.827 Å, 90.00 90.00 127.33°
Element x y z (fractional)
Th  0.213  0.787  0.750
Th  0.787  0.213  0.250
Si  0.210  0.790  0.250
Si  0.295  0.295  0.000
Si  0.295  0.295  0.500
Si  0.705  0.705  0.000
Si  0.705  0.705  0.500
Si  0.790  0.210  0.750
Tc  0.033  0.967  0.250
Tc  0.967  0.033  0.750
Pt  0.386  0.614  0.250
Pt  0.614  0.386  0.750

Values from the calculation:
Raw formation energy (eV/atom): -0.443
Space group: Cmcm (63)

---

No. 12
Here is an optimized crystal structure of Th2Si3TcPt4 from Alexandria via LeMat-Bulk. Energies are from PBE.

Cell: 4.237 4.237 10.324 Å, 90.00 90.00 90.00°
Element x y z (fractional)
Th  0.000  0.500  0.244
Th  0.500  0.000  0.756
Si  0.000  0.500  0.872
Si  0.500  0.000  0.128
Si  0.500  0.500  0.500
Tc  0.000  0.000  0.500
Pt  0.000  0.000  0.000
Pt  0.000  0.500  0.639
Pt  0.500  0.000  0.361
Pt  0.500  0.500  0.000

Values from the calculation:
Raw formation energy (eV/atom): -0.882
Space group: P-4m2 (115)

---

No. 13
Here is an optimized crystal structure of TiSiTcPt from Alexandria via LeMat-Bulk. Energies are from PBE.

Cell: 4.328 4.328 4.328 Å, 60.00 60.00 60.00°
Element x y z (fractional)
Ti  0.000  0.000  0.000
Si  0.500  0.500  0.500
Tc  0.750  0.750  0.750
Pt  0.250  0.250  0.250

Values from the calculation:
Raw formation energy (eV/atom): -0.604
Space group: F-43m (216)

---

No. 14
Here is an optimized crystal structure of U2Si4TcPt3 from Alexandria via LeMat-Bulk. Energies are from PBE.

Cell: 4.198 4.198 9.764 Å, 90.00 90.00 90.00°
Element x y z (fractional)
U  0.000  0.500  0.247
U  0.500  0.000  0.753
Si  0.000  0.000  0.500
Si  0.000  0.500  0.868
Si  0.500  0.000  0.132
Si  0.500  0.500  0.500
Tc  0.500  0.500  0.000
Pt  0.000  0.000  0.000
Pt  0.000  0.500  0.623
Pt  0.500  0.000  0.377

Values from the calculation:
Raw formation energy (eV/atom): -0.740
Space group: P-4m2 (115)